## Ca3RhAu2 (PBE)

Data for crystalline Ca3RhAu2 at its relaxed geometry.

Properties
The calculated density is 6.8 g cm⁻³. The calculation puts the formation energy from the elements at -0.6378 eV/atom. The calculation puts the total energy at -3.96 eV/atom. As for the magnetization: 0.00 μB/f.u. For the density of states at the Fermi level, the calculation gives 0.645 states/eV per atom.

```
data_Ca3RhAu2
_cell_length_a 11.907
_cell_length_b 4.402
_cell_length_c 11.559
_cell_angle_alpha 90.00
_cell_angle_beta 90.00
_cell_angle_gamma 90.00
_symmetry_space_group_name_H-M 'P n m a'
_symmetry_Int_Tables_number 62
_symmetry_space_group_name_Hall '-P 2ac 2n'
loop_
_atom_site_label
_atom_site_fract_x
_atom_site_fract_y
_atom_site_fract_z
Ca1 0.044 0.250 0.127
Ca2 0.116 0.750 0.552
Ca3 0.232 0.250 0.791
Rh1 0.128 0.250 0.373
Au1 0.004 0.750 0.306
Au2 0.187 0.750 0.006
```